Here is HgTe2Os after structural relaxation from Alexandria via LeMat-Bulk. Energies are from PBE-GGA.

For the energy, the calculation gives -3.4177 eV per atom. The total magnetization comes out at 0.0 μB per formula unit. As for the theoretical density: 12.1 g/cm³.

abc: 4.599 4.387 4.387
angles: 90.00 90.00 90.00
Element x y z (fractional)
Hg1 0.500 0.500 0.000
Os1 0.500 0.000 0.500
Te1 0.000 0.000 0.000
Te2 0.000 0.500 0.500

Here is HgTe2Os after structural relaxation from Alexandria via LeMat-Bulk. Energies are from PBE-GGA.

For the energy, the calculation gives -3.9216 eV per atom. The total magnetization comes out at 0.0 μB per formula unit. As for the theoretical density: 10.7 g/cm³.

abc: 3.179 3.179 11.196
angles: 90.00 90.00 117.98
Element x y z (fractional)
Hg1 0.500 0.500 0.250
Os1 0.500 0.500 0.750
Te1 0.000 0.000 0.943
Te2 0.000 0.000 0.557

Here is HgTeOs2 after structural relaxation from Alexandria via LeMat-Bulk. Energies are from PBE-GGA.

For the energy, the calculation gives -5.1874 eV per atom. The total magnetization comes out at 0.0 μB per formula unit. As for the theoretical density: 15.0 g/cm³.

abc: 7.457 7.457 5.982
angles: 51.44 51.44 90.00
Element x y z (fractional)
Te1 0.500 0.500 0.000
Te2 0.250 0.750 0.500
Os1 0.585 0.125 0.250
Os2 0.165 0.625 0.250
Os3 0.375 0.415 0.750
Os4 0.875 0.835 0.750
Hg1 0.000 0.000 0.000
Hg2 0.750 0.250 0.500

What formation energy (no corrections) values result from the calculations? In sequence: 1.04, 0.53, 1.29 eV/atom.